A plane-wave DFT calculation with GGA-PBE was carried out for an optimized crystal structure of BeCr2Ru.

DOS at the Fermi energy   0.6339 states/eV/atom
Magnetization   0.0 μB/cell
Formation energy   0.245 eV/atom
Total energy   -0.575 Ry/atom

```
BeCr2Ru
1.0
1.295 0.748 8.177
-1.295 0.748 8.177
0.000 -1.495 8.177
Be Cr Ru
1 2 1
direct
0.000 0.000 0.000
0.254 0.254 0.254
0.746 0.746 0.746
0.500 0.500 0.500
```